[1]
Below is a relaxed structure of TbNd6Cd2, with properties calculated at the PBE level.

**Polymorph energy (0 for the lowest one)**: 0 meV/atom
**Energy of formation**: -0.1324 eV per atom

Geometry as CIF:
```
data_TbNd6Cd2
_cell_length_a 3.836
_cell_length_b 6.768
_cell_length_c 12.024
_cell_angle_alpha 75.69
_cell_angle_beta 80.82
_cell_angle_gamma 73.54
_space_group_name_H-M_alt 'P 1'
_space_group_IT_number 1
loop_
_space_group_symop_operation_xyz
'x,y,z'
loop_
_atom_site_label
_atom_site_type_symbol
_atom_site_fract_x
_atom_site_fract_y
_atom_site_fract_z
_atom_site_occupancy
Tb1 Tb 0.000 0.000 0.000 1
Nd1 Nd 0.685 0.508 0.123 1
Nd2 Nd 0.315 0.492 0.877 1
Nd3 Nd 0.311 0.790 0.589 1
Nd4 Nd 0.980 0.703 0.337 1
Nd5 Nd 0.020 0.297 0.663 1
Nd6 Nd 0.689 0.210 0.411 1
Cd1 Cd 0.358 0.085 0.199 1
Cd2 Cd 0.642 0.915 0.801 1
```

=====

[2]
Below is a relaxed structure of Tb5NdCd6, with properties calculated at the PBE level.

**Energy of formation**: -0.3166 eV per atom

Geometry as CIF:
```
data_Tb5NdCd6
_cell_length_a 5.314
_cell_length_b 7.609
_cell_length_c 8.411
_cell_angle_alpha 90.00
_cell_angle_beta 71.68
_cell_angle_gamma 90.00
_space_group_name_H-M_alt 'P 1'
_space_group_IT_number 1
loop_
_space_group_symop_operation_xyz
'x,y,z'
loop_
_atom_site_label
_atom_site_type_symbol
_atom_site_fract_x
_atom_site_fract_y
_atom_site_fract_z
_atom_site_occupancy
Tb1 Tb 0.665 0.500 0.670 1
Tb2 Tb 0.332 0.000 0.335 1
Tb3 Tb 0.000 0.500 0.000 1
Tb4 Tb 0.668 0.000 0.665 1
Tb5 Tb 0.335 0.500 0.330 1
Nd1 Nd 0.000 0.000 0.000 1
Cd1 Cd 0.831 0.746 0.339 1
Cd2 Cd 0.831 0.254 0.339 1
Cd3 Cd 0.500 0.255 0.000 1
Cd4 Cd 0.500 0.745 0.000 1
Cd5 Cd 0.169 0.746 0.661 1
Cd6 Cd 0.169 0.254 0.661 1
```

=====

[3]
Below is a relaxed structure of TbNd6Cd5, with properties calculated at the PBE level.

**Energy of formation**: -0.2262 eV per atom

Geometry as CIF:
```
data_TbNd6Cd5
_cell_length_a 5.454
_cell_length_b 7.822
_cell_length_c 9.532
_cell_angle_alpha 114.22
_cell_angle_beta 106.62
_cell_angle_gamma 90.00
_space_group_name_H-M_alt 'P 1'
_space_group_IT_number 1
loop_
_space_group_symop_operation_xyz
'x,y,z'
loop_
_atom_site_label
_atom_site_type_symbol
_atom_site_fract_x
_atom_site_fract_y
_atom_site_fract_z
_atom_site_occupancy
Nd1 Nd 0.829 0.573 0.658 1
Nd2 Nd 0.829 0.085 0.658 1
Nd3 Nd 0.500 0.733 0.000 1
Nd4 Nd 0.500 0.267 0.000 1
Nd5 Nd 0.171 0.915 0.342 1
Nd6 Nd 0.171 0.427 0.342 1
Tb1 Tb 0.000 0.000 0.000 1
Cd1 Cd 0.655 0.155 0.311 1
Cd2 Cd 0.332 0.332 0.663 1
Cd3 Cd 0.000 0.500 0.000 1
Cd4 Cd 0.668 0.668 0.337 1
Cd5 Cd 0.345 0.845 0.689 1
```

=====

[4]
Below is a relaxed structure of Tb7NdCd4, with properties calculated at the PBE level.

**Energy of formation**: -0.0035 eV per atom

Geometry as CIF:
```
data_Tb7NdCd4
_cell_length_a 5.745
_cell_length_b 9.045
_cell_length_c 7.929
_cell_angle_alpha 70.02
_cell_angle_beta 68.76
_cell_angle_gamma 71.48
_space_group_name_H-M_alt 'P 1'
_space_group_IT_number 1
loop_
_space_group_symop_operation_xyz
'x,y,z'
loop_
_atom_site_label
_atom_site_type_symbol
_atom_site_fract_x
_atom_site_fract_y
_atom_site_fract_z
_atom_site_occupancy
Tb1 Tb 0.795 0.880 0.530 1
Tb2 Tb 0.205 0.120 0.470 1
Tb3 Tb 0.071 0.587 0.271 1
Tb4 Tb 0.929 0.413 0.729 1
Tb5 Tb 0.264 0.692 0.781 1
Tb6 Tb 0.500 0.000 0.000 1
Tb7 Tb 0.736 0.308 0.219 1
Nd1 Nd 0.000 0.000 0.000 1
Cd1 Cd 0.541 0.288 0.630 1
Cd2 Cd 0.459 0.712 0.370 1
Cd3 Cd 0.682 0.659 0.977 1
Cd4 Cd 0.318 0.341 0.023 1
```

=====

[5]
Below is a relaxed structure of Tb3Nd2Cd, with properties calculated at the PBE level.

**Polymorph energy (0 for the lowest one)**: 359 meV/atom
**Energy of formation**: 0.2610 eV per atom

Geometry as CIF:
```
data_Tb3Nd2Cd
_cell_length_a 6.391
_cell_length_b 5.820
_cell_length_c 6.722
_cell_angle_alpha 115.65
_cell_angle_beta 118.39
_cell_angle_gamma 90.00
_space_group_name_H-M_alt 'P 1'
_space_group_IT_number 1
loop_
_space_group_symop_operation_xyz
'x,y,z'
loop_
_atom_site_label
_atom_site_type_symbol
_atom_site_fract_x
_atom_site_fract_y
_atom_site_fract_z
_atom_site_occupancy
Tb1 Tb 0.000 0.122 0.000 1
Tb2 Tb 0.342 0.467 0.685 1
Tb3 Tb 0.658 0.782 0.315 1
Nd1 Nd 0.822 0.445 0.643 1
Nd2 Nd 0.178 0.802 0.357 1
Cd1 Cd 0.500 0.125 0.000 1
```

=====

[6]
Below is a relaxed structure of TbNdCd2, with properties calculated at the PBE level.

**Polymorph energy (0 for the lowest one)**: 1 meV/atom
**Energy of formation**: -0.3166 eV per atom

Geometry as CIF:
```
data_TbNdCd2
_cell_length_a 3.788
_cell_length_b 3.788
_cell_length_c 7.699
_cell_angle_alpha 90.00
_cell_angle_beta 90.00
_cell_angle_gamma 90.00
_space_group_name_H-M_alt 'P 1'
_space_group_IT_number 1
loop_
_space_group_symop_operation_xyz
'x,y,z'
loop_
_atom_site_label
_atom_site_type_symbol
_atom_site_fract_x
_atom_site_fract_y
_atom_site_fract_z
_atom_site_occupancy
Nd1 Nd 0.500 0.500 0.500 1
Tb1 Tb 0.500 0.500 0.000 1
Cd1 Cd 0.000 0.000 0.764 1
Cd2 Cd 0.000 0.000 0.236 1
```

=====

- Among the records above, which one has the highest energy of formation?
  Tb3Nd2Cd